Record 1
An optimized crystal structure of CrCo2Rh, computed with PBEsol.

a b c (Å): 2.765 4.132 8.139
angles (deg): 90.00 90.00 90.00
Sites, in units of the cell vectors:
Cr 0.000 0.000 0.000
Cr 0.500 0.500 0.000
Co 0.000 0.500 0.238
Co 0.000 0.500 0.762
Co 0.500 0.000 0.238
Co 0.500 0.000 0.762
Rh 0.000 0.000 0.500
Rh 0.500 0.500 0.500

Properties
Its symmetry is No. 65. As for the formation energy: 0.2615 eV/atom. The total energy comes out at -8.202 eV/atom. The total moment is 7.590 Bohr magnetons per cell. The density of states at the Fermi level comes out at 1.51 states/eV/atom.



Record 2
An optimized crystal structure of In3CoPt, computed with PBEsol.

a b c (Å): 4.729 4.729 4.729
angles (deg): 90.00 90.00 90.00
Sites, in units of the cell vectors:
In 0.000 0.000 0.500
In 0.000 0.500 0.000
In 0.500 0.000 0.000
Co 0.000 0.000 0.000
Pt 0.500 0.500 0.500

Properties
Its symmetry is No. 221. As for the formation energy: 0.3524 eV/atom. The energy above the most stable polymorph in this dataset is 0.0 meV per atom. The total energy comes out at -4.377 eV/atom. The total moment is 0.000 Bohr magnetons per cell. The density of states at the Fermi level comes out at 0.55 states/eV/atom.



Record 3
An optimized crystal structure of GaSeCl, computed with PBEsol.

a b c (Å): 5.517 14.701 3.778
angles (deg): 90.00 90.00 90.00
Sites, in units of the cell vectors:
Ga 0.026 0.190 0.000
Ga 0.474 0.690 0.500
Ga 0.526 0.310 0.500
Ga 0.974 0.810 0.000
Se 0.249 0.832 0.500
Se 0.251 0.332 0.000
Se 0.749 0.668 0.000
Se 0.751 0.168 0.500
Cl 0.230 0.576 0.500
Cl 0.270 0.076 0.000
Cl 0.730 0.924 0.000
Cl 0.770 0.424 0.500

Properties
Its symmetry is No. 58. The total energy comes out at -3.895 eV/atom. The calculation puts the formation energy (no corrections) at -0.83 eV/atom. The total moment is 0.000 Bohr magnetons per cell. The density of states at the Fermi level comes out at 0.00 states/eV/atom.